1.
VASP calculation (PBE) on a geometry-optimized La2MgNi2 structure.

Structure (CIF):
```
data_La2MgNi2
_cell_length_a 7.712
_cell_length_b 7.712
_cell_length_c 3.882
_cell_angle_alpha 90.00
_cell_angle_beta 90.00
_cell_angle_gamma 149.24
_space_group_name_H-M_alt 'P 1'
_space_group_IT_number 1
loop_
_space_group_symop_operation_xyz
'x,y,z'
loop_
_atom_site_label
_atom_site_type_symbol
_atom_site_fract_x
_atom_site_fract_y
_atom_site_fract_z
La1 La 0.141 0.859 0.000
La2 La 0.859 0.141 0.000
Mg1 Mg 0.500 0.500 0.500
Ni1 Ni 0.301 0.699 0.500
Ni2 Ni 0.699 0.301 0.500
```

Results
Symmetry: No. 65
ΔE_f, meV per atom: -309
VASP energy, eV/cell: -24.6
Total magnetization, Bohr magnetons per cell: 0.0

***

2.
VASP calculation (PBE) on a geometry-optimized La2As4Pd3Pt structure.

Structure (CIF):
```
data_La2As4Pd3Pt
_cell_length_a 4.494
_cell_length_b 4.494
_cell_length_c 9.918
_cell_angle_alpha 90.00
_cell_angle_beta 90.00
_cell_angle_gamma 90.00
_space_group_name_H-M_alt 'P 1'
_space_group_IT_number 1
loop_
_space_group_symop_operation_xyz
'x,y,z'
loop_
_atom_site_label
_atom_site_type_symbol
_atom_site_fract_x
_atom_site_fract_y
_atom_site_fract_z
La1 La 0.000 0.500 0.250
La2 La 0.500 0.000 0.750
As1 As 0.000 0.000 0.000
As2 As 0.000 0.500 0.630
As3 As 0.500 0.000 0.370
As4 As 0.500 0.500 0.000
Pd1 Pd 0.000 0.500 0.881
Pd2 Pd 0.500 0.000 0.119
Pd3 Pd 0.500 0.500 0.500
Pt1 Pt 0.000 0.000 0.500
```

Results
Symmetry: No. 115
ΔE_f, meV per atom: -936
VASP energy, eV/cell: -59.4
Total magnetization, Bohr magnetons per cell: 0.0

***

3.
VASP calculation (PBE) on a geometry-optimized PmDySnGe structure.

Structure (CIF):
```
data_PmDySnGe
_cell_length_a 5.286
_cell_length_b 5.286
_cell_length_c 5.286
_cell_angle_alpha 60.00
_cell_angle_beta 60.00
_cell_angle_gamma 60.00
_space_group_name_H-M_alt 'P 1'
_space_group_IT_number 1
loop_
_space_group_symop_operation_xyz
'x,y,z'
loop_
_atom_site_label
_atom_site_type_symbol
_atom_site_fract_x
_atom_site_fract_y
_atom_site_fract_z
Pm1 Pm 0.000 0.000 0.000
Dy1 Dy 0.500 0.500 0.500
Sn1 Sn 0.750 0.750 0.750
Ge1 Ge 0.250 0.250 0.250
```

Results
Symmetry: No. 216
ΔE_f, meV per atom: -539
VASP energy, eV/cell: -20.1
Total magnetization, Bohr magnetons per cell: 0.0

***

4.
VASP calculation (PBE) on a geometry-optimized ScS4 structure.

Structure (CIF):
```
data_ScS4
_cell_length_a 4.940
_cell_length_b 4.940
_cell_length_c 4.940
_cell_angle_alpha 90.00
_cell_angle_beta 90.00
_cell_angle_gamma 90.00
_space_group_name_H-M_alt 'P 1'
_space_group_IT_number 1
loop_
_space_group_symop_operation_xyz
'x,y,z'
loop_
_atom_site_label
_atom_site_type_symbol
_atom_site_fract_x
_atom_site_fract_y
_atom_site_fract_z
Sc1 Sc 0.000 0.000 0.000
S1 S 0.000 0.000 0.500
S2 S 0.000 0.500 0.000
S3 S 0.500 0.000 0.000
S4 S 0.500 0.500 0.500
```

Results
Symmetry: No. 221
Energy above the most stable polymorph in this dataset, meV/atom: 848.3
VASP energy, eV/cell: -21.9
Total magnetization, Bohr magnetons per cell: 2.3

***

5.
VASP calculation (PBE) on a geometry-optimized Pr2ZrCo structure.

Structure (CIF):
```
data_Pr2ZrCo
_cell_length_a 10.460
_cell_length_b 10.460
_cell_length_c 10.460
_cell_angle_alpha 19.09
_cell_angle_beta 19.09
_cell_angle_gamma 19.09
_space_group_name_H-M_alt 'P 1'
_space_group_IT_number 1
loop_
_space_group_symop_operation_xyz
'x,y,z'
loop_
_atom_site_label
_atom_site_type_symbol
_atom_site_fract_x
_atom_site_fract_y
_atom_site_fract_z
Pr1 Pr 0.105 0.105 0.105
Pr2 Pr 0.895 0.895 0.895
Zr1 Zr 0.000 0.000 0.000
Co1 Co 0.500 0.500 0.500
```

Results
Symmetry: No. 166
ΔE_f, meV per atom: 490
VASP energy, eV/cell: -23.3
Total magnetization, Bohr magnetons per cell: 0.0

***

6.
VASP calculation (PBE) on a geometry-optimized SrNi3S structure.

Structure (CIF):
```
data_SrNi3S
_cell_length_a 4.763
_cell_length_b 4.763
_cell_length_c 4.763
_cell_angle_alpha 90.00
_cell_angle_beta 90.00
_cell_angle_gamma 90.00
_space_group_name_H-M_alt 'P 1'
_space_group_IT_number 1
loop_
_space_group_symop_operation_xyz
'x,y,z'
loop_
_atom_site_label
_atom_site_type_symbol
_atom_site_fract_x
_atom_site_fract_y
_atom_site_fract_z
Sr1 Sr 0.000 0.000 0.000
Ni1 Ni 0.000 0.000 0.500
Ni2 Ni 0.000 0.500 0.000
Ni3 Ni 0.500 0.000 0.000
S1 S 0.500 0.500 0.500
```

Results
Symmetry: No. 221
Energy above the most stable polymorph in this dataset, meV/atom: 2105.1
VASP energy, eV/cell: -13.8
Total magnetization, Bohr magnetons per cell: 0.2

***

7.
VASP calculation (PBE) on a geometry-optimized LaNbGa2 structure.

Structure (CIF):
```
data_LaNbGa2
_cell_length_a 9.905
_cell_length_b 9.905
_cell_length_c 9.905
_cell_angle_alpha 152.61
_cell_angle_beta 152.61
_cell_angle_gamma 39.12
_space_group_name_H-M_alt 'P 1'
_space_group_IT_number 1
loop_
_space_group_symop_operation_xyz
'x,y,z'
loop_
_atom_site_label
_atom_site_type_symbol
_atom_site_fract_x
_atom_site_fract_y
_atom_site_fract_z
La1 La 0.000 0.000 0.000
La2 La 0.750 0.250 0.500
Nb1 Nb 0.250 0.750 0.500
Nb2 Nb 0.500 0.500 0.000
Ga1 Ga 0.269 0.625 0.144
Ga2 Ga 0.375 0.519 0.644
Ga3 Ga 0.481 0.125 0.856
Ga4 Ga 0.875 0.731 0.356
```

Results
Symmetry: No. 122
ΔE_f, meV per atom: 154
Energy above the most stable polymorph in this dataset, meV/atom: 296.1
VASP energy, eV/cell: -40.9
Total magnetization, Bohr magnetons per cell: 0.0

***

8.
VASP calculation (PBE) on a geometry-optimized MnAgPbCl6 structure.

Structure (CIF):
```
data_MnAgPbCl6
_cell_length_a 6.803
_cell_length_b 6.803
_cell_length_c 11.568
_cell_angle_alpha 90.00
_cell_angle_beta 90.00
_cell_angle_gamma 120.00
_space_group_name_H-M_alt 'P 1'
_space_group_IT_number 1
loop_
_space_group_symop_operation_xyz
'x,y,z'
loop_
_atom_site_label
_atom_site_type_symbol
_atom_site_fract_x
_atom_site_fract_y
_atom_site_fract_z
Mn1 Mn 0.333 0.667 0.250
Mn2 Mn 0.667 0.333 0.750
Ag1 Ag 0.000 0.000 0.000
Ag2 Ag 0.000 0.000 0.500
Pb1 Pb 0.333 0.667 0.750
Pb2 Pb 0.667 0.333 0.250
Cl1 Cl 0.055 0.369 0.127
Cl2 Cl 0.055 0.686 0.373
Cl3 Cl 0.314 0.369 0.373
Cl4 Cl 0.314 0.945 0.127
Cl5 Cl 0.369 0.055 0.627
Cl6 Cl 0.369 0.314 0.873
Cl7 Cl 0.631 0.686 0.127
Cl8 Cl 0.631 0.945 0.373
Cl9 Cl 0.686 0.055 0.873
Cl10 Cl 0.686 0.631 0.627
Cl11 Cl 0.945 0.314 0.627
Cl12 Cl 0.945 0.631 0.873
```

Results
Symmetry: No. 163
VASP energy, eV/cell: -69.4
Total magnetization, Bohr magnetons per cell: 8.0

***

9.
VASP calculation (PBE) on a geometry-optimized SrAc2La structure.

Structure (CIF):
```
data_SrAc2La
_cell_length_a 5.644
_cell_length_b 5.644
_cell_length_c 5.534
_cell_angle_alpha 90.00
_cell_angle_beta 90.00
_cell_angle_gamma 90.00
_space_group_name_H-M_alt 'P 1'
_space_group_IT_number 1
loop_
_space_group_symop_operation_xyz
'x,y,z'
loop_
_atom_site_label
_atom_site_type_symbol
_atom_site_fract_x
_atom_site_fract_y
_atom_site_fract_z
Sr1 Sr 0.000 0.000 0.000
Ac1 Ac 0.000 0.500 0.500
Ac2 Ac 0.500 0.000 0.500
La1 La 0.500 0.500 0.000
```

Results
Symmetry: No. 123
ΔE_f, meV per atom: 93
Energy above the most stable polymorph in this dataset, meV/atom: 54.9
VASP energy, eV/cell: -14.5
Total magnetization, Bohr magnetons per cell: 0.0

***

10.
VASP calculation (PBE) on a geometry-optimized Li2H2Pt structure.

Structure (CIF):
```
data_Li2H2Pt
_cell_length_a 5.066
_cell_length_b 5.066
_cell_length_c 5.551
_cell_angle_alpha 111.90
_cell_angle_beta 111.90
_cell_angle_gamma 49.54
_space_group_name_H-M_alt 'P 1'
_space_group_IT_number 1
loop_
_space_group_symop_operation_xyz
'x,y,z'
loop_
_atom_site_label
_atom_site_type_symbol
_atom_site_fract_x
_atom_site_fract_y
_atom_site_fract_z
Li1 Li 0.021 0.021 0.289
Li2 Li 0.309 0.309 0.881
Li3 Li 0.691 0.691 0.119
Li4 Li 0.979 0.979 0.711
H1 H 0.168 0.168 0.107
H2 H 0.497 0.497 0.707
H3 H 0.503 0.503 0.293
H4 H 0.832 0.832 0.893
Pt1 Pt 0.331 0.331 0.397
Pt2 Pt 0.669 0.669 0.603
```

Results
Symmetry: No. 12
VASP energy, eV/cell: -37.5
Total magnetization, Bohr magnetons per cell: 0.0

***

11.
VASP calculation (PBE) on a geometry-optimized MnNi4H4 structure.

Structure (CIF):
```
data_MnNi4H4
_cell_length_a 4.604
_cell_length_b 4.604
_cell_length_c 4.604
_cell_angle_alpha 98.95
_cell_angle_beta 98.95
_cell_angle_gamma 133.54
_space_group_name_H-M_alt 'P 1'
_space_group_IT_number 1
loop_
_space_group_symop_operation_xyz
'x,y,z'
loop_
_atom_site_label
_atom_site_type_symbol
_atom_site_fract_x
_atom_site_fract_y
_atom_site_fract_z
Mn1 Mn 0.000 0.000 0.000
Ni1 Ni 0.202 0.604 0.807
Ni2 Ni 0.396 0.202 0.598
Ni3 Ni 0.604 0.798 0.402
Ni4 Ni 0.798 0.396 0.193
H1 H 0.116 0.319 0.435
H2 H 0.319 0.884 0.202
H3 H 0.681 0.116 0.798
H4 H 0.884 0.681 0.565
```

Results
Symmetry: No. 87
VASP energy, eV/cell: -46.4
Total magnetization, Bohr magnetons per cell: 4.1

***

12.
VASP calculation (PBE) on a geometry-optimized PrSm4Dy4 structure.

Structure (CIF):
```
data_PrSm4Dy4
_cell_length_a 6.231
_cell_length_b 9.527
_cell_length_c 10.795
_cell_angle_alpha 100.87
_cell_angle_beta 106.75
_cell_angle_gamma 96.22
_space_group_name_H-M_alt 'P 1'
_space_group_IT_number 1
loop_
_space_group_symop_operation_xyz
'x,y,z'
loop_
_atom_site_label
_atom_site_type_symbol
_atom_site_fract_x
_atom_site_fract_y
_atom_site_fract_z
Pr1 Pr 0.250 0.084 0.304
Pr2 Pr 0.750 0.916 0.696
Sm1 Sm 0.249 0.748 0.082
Sm2 Sm 0.250 0.749 0.751
Sm3 Sm 0.251 0.084 0.640
Sm4 Sm 0.252 0.418 0.529
Sm5 Sm 0.748 0.582 0.471
Sm6 Sm 0.749 0.916 0.360
Sm7 Sm 0.750 0.251 0.249
Sm8 Sm 0.751 0.252 0.918
Dy1 Dy 0.247 0.748 0.415
Dy2 Dy 0.250 0.417 0.862
Dy3 Dy 0.250 0.418 0.193
Dy4 Dy 0.252 0.084 0.972
Dy5 Dy 0.748 0.916 0.028
Dy6 Dy 0.750 0.582 0.807
Dy7 Dy 0.750 0.583 0.138
Dy8 Dy 0.753 0.252 0.585
```

Results
Symmetry: No. 2
ΔE_f, meV per atom: 16
VASP energy, eV/cell: -83.8
Total magnetization, Bohr magnetons per cell: 0.0